Entry 1:
Material: Ga3Hg12Se5
Method: DFT, GGA-PBE
State: optimized geometry

Geometry as CIF:
```
data_Ga3Hg12Se5
_symmetry_space_group_name_H-M 'I a -3 d'
_symmetry_Int_Tables_number 230
_symmetry_space_group_name_Hall '-I 4bd 2c 3'
_cell_length_a 16.4853
_cell_length_b 16.4853
_cell_length_c 16.4853
_cell_angle_alpha 90.00
_cell_angle_beta 90.00
_cell_angle_gamma 90.00
loop_
_atom_site_label
_atom_site_type_symbol
_atom_site_fract_x
_atom_site_fract_y
_atom_site_fract_z
Ga1 Ga 0.0000 0.2500 0.1250
Hg1 Hg 0.0242 0.0895 0.6525
Se1 Se 0.0000 0.0000 0.0000
Se2 Se 0.0000 0.2500 0.3750
```

DFT total energy (eV per cell): -240.51
Spin magnetization (μB/f.u.): 0.00
Formation energy without anion corrections (kJ per mole of atoms): 0.3



Entry 2:
Material: Ga2HgSe
Method: DFT, GGA-PBE
State: optimized geometry

Geometry as CIF:
```
data_Ga2HgSe
_symmetry_space_group_name_H-M 'P 4/m m m'
_symmetry_Int_Tables_number 123
_symmetry_space_group_name_Hall '-P 4 2'
_cell_length_a 3.5132
_cell_length_b 3.5132
_cell_length_c 7.3130
_cell_angle_alpha 90.00
_cell_angle_beta 90.00
_cell_angle_gamma 90.00
loop_
_atom_site_label
_atom_site_type_symbol
_atom_site_fract_x
_atom_site_fract_y
_atom_site_fract_z
Ga1 Ga 0.0000 0.0000 0.2152
Hg1 Hg 0.5000 0.5000 0.5000
Se1 Se 0.5000 0.5000 0.0000
```

DFT total energy (eV per cell): -10.13
Spin magnetization (μB/f.u.): 0.00
Formation energy without anion corrections (kJ per mole of atoms): -7.1



Entry 3:
Material: GaHg3Se
Method: DFT, GGA-PBE
State: optimized geometry

Geometry as CIF:
```
data_GaHg3Se
_symmetry_space_group_name_H-M 'P m -3 m'
_symmetry_Int_Tables_number 221
_symmetry_space_group_name_Hall '-P 4 2 3'
_cell_length_a 5.2539
_cell_length_b 5.2539
_cell_length_c 5.2539
_cell_angle_alpha 90.00
_cell_angle_beta 90.00
_cell_angle_gamma 90.00
loop_
_atom_site_label
_atom_site_type_symbol
_atom_site_fract_x
_atom_site_fract_y
_atom_site_fract_z
Ga1 Ga 0.0000 0.0000 0.0000
Hg1 Hg 0.0000 0.0000 0.5000
Se1 Se 0.5000 0.5000 0.5000
```

DFT total energy (eV per cell): -6.08
Spin magnetization (μB/f.u.): 0.51
Formation energy without anion corrections (kJ per mole of atoms): 25.9



formation energy without anion corrections of number 3 (GaHg3Se)?
25.9 kJ per mole of atoms